CdRh3C: relaxed, GGA-PBE.

Calculated values
ΔH_f (0 K) in eV/atom: 0.170
Symmetry: Cmcm, No. 63
Raw total energy in eV per atom: -6.269

```
20
Lattice="6.300 -5.913 0.000 6.300 5.913 0.000 0.000 0.000 4.171" Properties=species:S:1:pos:R:3 pbc="T T T"
Cd 6.300 4.898 3.128
Cd 6.300 2.425 1.043
Cd 6.300 -2.425 3.128
Cd 6.300 -4.898 1.043
Rh 1.894 1.228 3.128
Rh 4.288 2.919 3.128
Rh 3.922 0.913 1.043
Rh 1.894 -1.228 1.043
Rh 3.922 -0.913 3.128
Rh 8.312 2.919 3.128
Rh 4.288 -2.919 1.043
Rh 8.679 0.913 1.043
Rh 10.706 1.228 3.128
Rh 8.679 -0.913 3.128
Rh 8.312 -2.919 1.043
Rh 10.706 -1.228 1.043
C 3.856 1.083 3.128
C 3.856 -1.083 1.043
C 8.744 1.083 3.128
C 8.744 -1.083 1.043
```

---

Cd3RhC: relaxed, GGA-PBE.

Calculated values
ΔH_f (0 K) in eV/atom: 0.872
Symmetry: Pm-3m, No. 221
Raw total energy in eV per atom: -2.992
Excess energy over the best structure of this formula in the dataset in meV per atom: 0

```
5
Lattice="4.475 0.000 0.000 0.000 4.475 0.000 0.000 0.000 4.475" Properties=species:S:1:pos:R:3 pbc="T T T"
Cd 0.000 0.000 2.238
Cd 0.000 2.238 0.000
Cd 2.238 0.000 0.000
Rh 2.238 2.238 2.238
C 0.000 0.000 0.000
```

---

CdRh3C: relaxed, GGA-PBE.

Calculated values
ΔH_f (0 K) in eV/atom: 0.120
Symmetry: P2_1/m, No. 11
Raw total energy in eV per atom: -6.318

```
10
Lattice="4.929 0.000 0.000 0.000 5.666 0.000 -0.498 0.000 5.151" Properties=species:S:1:pos:R:3 pbc="T T T"
Cd 1.026 1.416 1.833
Cd 3.405 4.249 3.318
Rh 0.948 4.249 1.819
Rh 0.812 0.032 4.389
Rh 0.812 2.801 4.389
Rh 3.618 2.865 0.762
Rh 3.618 5.634 0.762
Rh 3.482 1.416 3.332
C 2.179 4.249 0.374
C 2.252 1.416 4.777
```

---

CdRh3C: relaxed, GGA-PBE.

Calculated values
ΔH_f (0 K) in eV/atom: 0.324
Symmetry: C2/m, No. 12
Raw total energy in eV per atom: -6.115

```
10
Lattice="6.255 -1.951 0.000 6.255 1.951 0.000 -3.029 0.000 6.197" Properties=species:S:1:pos:R:3 pbc="T T T"
Cd 1.608 0.000 1.920
Cd 7.874 0.000 4.277
Rh -0.661 0.000 4.153
Rh 4.035 0.000 0.103
Rh 3.688 0.000 3.890
Rh 5.794 0.000 2.307
Rh 5.447 0.000 6.094
Rh 10.143 0.000 2.044
C 2.827 0.000 5.626
C 6.655 0.000 0.571
```

---

Cd2Rh6C: relaxed, GGA-PBE.

Calculated values
ΔH_f (0 K) in eV/atom: -0.009
Symmetry: Fm-3m, No. 225
Raw total energy in eV per atom: -6.138

```
9
Lattice="0.000 4.033 4.033 4.033 0.000 4.033 4.033 4.033 0.000" Properties=species:S:1:pos:R:3 pbc="T T T"
Cd 2.017 2.017 2.017
Cd 6.050 6.050 6.050
Rh 4.033 4.033 1.972
Rh 4.033 1.972 4.033
Rh 6.094 4.033 4.033
Rh 1.972 4.033 4.033
Rh 4.033 6.094 4.033
Rh 4.033 4.033 6.094
C 4.033 4.033 4.033
```

---

CdRh3C: relaxed, GGA-PBE.

Calculated values
ΔH_f (0 K) in eV/atom: 0.532
Symmetry: I-4m2, No. 119
Raw total energy in eV per atom: -5.906

```
10
Lattice="-2.606 2.606 5.977 2.606 -2.606 5.977 2.606 2.606 -5.977" Properties=species:S:1:pos:R:3 pbc="T T T"
Cd 0.000 0.000 1.988
Cd 0.000 0.000 9.966
Rh 2.606 0.000 0.999
Rh 2.606 1.257 -1.408
Rh 2.606 0.000 4.977
Rh 1.257 2.606 1.408
Rh 1.349 0.000 7.384
Rh 0.000 1.349 4.569
C 0.000 0.000 5.977
C 0.000 2.606 2.988
```

---

CdRh3C: relaxed, GGA-PBE.

Calculated values
ΔH_f (0 K) in eV/atom: 0.312
Symmetry: Cmcm, No. 63
Raw total energy in eV per atom: -6.127

```
10
Lattice="2.760 -4.921 0.000 2.760 4.921 0.000 0.000 0.000 5.369" Properties=species:S:1:pos:R:3 pbc="T T T"
Cd 2.760 4.413 4.027
Cd 2.760 -4.413 1.342
Rh 1.382 2.014 4.027
Rh 1.382 -2.014 1.342
Rh 2.760 0.000 0.000
Rh 2.760 0.000 2.684
Rh 4.138 2.014 4.027
Rh 4.138 -2.014 1.342
C 2.760 1.558 1.342
C 2.760 -1.558 4.027
```

---

CdRh3C: relaxed, GGA-PBE.

Calculated values
ΔH_f (0 K) in eV/atom: 0.368
Symmetry: P6_3/mmc, No. 194
Raw total energy in eV per atom: -6.070

```
10
Lattice="3.425 0.000 0.000 -1.712 2.966 0.000 0.000 0.000 15.721" Properties=species:S:1:pos:R:3 pbc="T T T"
Cd 0.000 0.000 0.000
Cd 0.000 0.000 7.860
Rh 0.000 0.000 3.930
Rh 0.000 0.000 11.790
Rh 0.000 1.977 1.963
Rh 0.000 1.977 5.897
Rh 1.712 0.989 9.823
Rh 1.712 0.989 13.757
C 0.000 1.977 3.930
C 1.712 0.989 11.790
```

---

CdRh3C: relaxed, GGA-PBE.

Calculated values
ΔH_f (0 K) in eV/atom: 0.438
Symmetry: R-3c, No. 167
Raw total energy in eV per atom: -6.000

```
10
Lattice="3.671 2.120 3.209 -3.671 2.120 3.209 0.000 -4.239 3.209" Properties=species:S:1:pos:R:3 pbc="T T T"
Cd 0.000 0.000 0.000
Cd 0.000 0.000 4.814
Rh -2.728 -0.485 4.012
Rh -0.943 -2.605 5.616
Rh 1.784 -2.120 4.012
Rh -1.784 2.120 5.616
Rh 0.943 2.605 4.012
Rh 2.728 0.485 5.616
C 0.000 0.000 2.407
C 0.000 0.000 7.221
```

---

CdRh3C: relaxed, GGA-PBE.

Calculated values
ΔH_f (0 K) in eV/atom: 0.124
Symmetry: C2/c, No. 15
Raw total energy in eV per atom: -6.315

```
20
Lattice="4.822 -5.785 0.000 4.822 5.785 0.000 -0.101 0.000 5.080" Properties=species:S:1:pos:R:3 pbc="T T T"
Cd 1.271 0.786 0.407
Cd 1.220 -0.786 2.947
Cd 8.322 0.786 2.133
Cd 8.271 -0.786 4.673
Rh 3.510 3.591 2.104
Rh 3.543 2.185 4.636
Rh 3.592 0.762 2.128
Rh 6.082 3.591 0.436
Rh 5.948 2.185 2.984
Rh 3.541 -0.762 4.668
Rh 6.000 0.762 0.412
Rh 3.594 -2.185 2.096
Rh 3.460 -3.591 4.644
Rh 5.950 -0.762 2.952
Rh 5.999 -2.185 0.444
Rh 6.031 -3.591 2.976
C 4.796 2.367 1.270
C 4.746 0.791 3.810
C 4.796 -0.791 1.270
C 4.746 -2.367 3.810
```

---

CdRh3C: relaxed, GGA-PBE.

Calculated values
ΔH_f (0 K) in eV/atom: 1.176
Symmetry: I-4m2, No. 119
Raw total energy in eV per atom: -5.263

```
10
Lattice="-2.268 2.268 10.039 2.268 -2.268 10.039 2.268 2.268 -10.039" Properties=species:S:1:pos:R:3 pbc="T T T"
Cd 0.000 0.000 0.000
Cd 0.000 2.268 5.019
Rh 0.000 0.000 6.600
Rh 0.000 1.119 2.536
Rh 0.000 0.000 13.477
Rh -1.149 2.268 7.503
Rh 1.149 2.268 7.503
Rh 0.000 3.417 2.536
C 2.268 0.000 4.341
C 2.268 0.000 5.698
```

---

CdRh3C: relaxed, GGA-PBE.

Calculated values
ΔH_f (0 K) in eV/atom: 0.597
Symmetry: Amm2, No. 38
Raw total energy in eV per atom: -5.842

```
5
Lattice="2.837 0.000 0.000 0.000 2.709 6.772 0.000 -2.709 6.772" Properties=species:S:1:pos:R:3 pbc="T T T"
Cd 0.000 0.000 0.000
Rh 0.000 -1.354 9.361
Rh 0.000 1.354 9.361
Rh 1.419 0.000 11.182
C 1.419 0.000 2.682
```

---

- The highest ΔH_f (0 K) belongs to which entry?
  number 11